# 1
VASP calculation (PBE) on a relaxed HoTmNi crystal.

a b c (Å): 3.368 3.368 12.281
angles (deg): 90.00 90.00 90.00
Atoms (fractional coordinates):
Ho1 0.000 0.000 0.000
Ho2 0.500 0.500 0.500
Tm1 0.000 0.000 0.263
Tm2 0.500 0.500 0.763
Ni1 0.000 0.000 0.634
Ni2 0.500 0.500 0.134

Calculated values
- E_form: -26.6 kJ/mol of atoms
- Space-group type: I4mm
- Energy above the most stable polymorph in this dataset: 0.00 eV per formula unit
- Crystal system: tetragonal
- Total moment: 0.00 μB per atom

# 2
VASP calculation (PBE) on a relaxed Ho3TmNi8 crystal.

a b c (Å): 8.752 8.752 8.752
angles (deg): 33.46 33.46 33.46
Atoms (fractional coordinates):
Ho1 0.000 0.000 0.000
Ho2 0.125 0.125 0.125
Ho3 0.500 0.500 0.500
Tm1 0.625 0.625 0.625
Ni1 0.062 0.563 0.563
Ni2 0.063 0.063 0.563
Ni3 0.063 0.563 0.063
Ni4 0.313 0.313 0.313
Ni5 0.563 0.062 0.563
Ni6 0.563 0.063 0.063
Ni7 0.563 0.563 0.062
Ni8 0.813 0.813 0.813

Calculated values
- E_form: -45.6 kJ/mol of atoms
- Space-group type: R3m
- Crystal system: trigonal
- Total moment: 0.00 μB per atom

# 3
VASP calculation (PBE) on a relaxed HoTm3Ni8 crystal.

a b c (Å): 8.727 8.727 8.727
angles (deg): 33.47 33.47 33.47
Atoms (fractional coordinates):
Ho1 0.000 0.000 0.000
Tm1 0.375 0.375 0.375
Tm2 0.500 0.500 0.500
Tm3 0.875 0.875 0.875
Ni1 0.188 0.188 0.188
Ni2 0.437 0.437 0.937
Ni3 0.437 0.937 0.437
Ni4 0.439 0.938 0.938
Ni5 0.688 0.688 0.688
Ni6 0.937 0.437 0.437
Ni7 0.938 0.439 0.938
Ni8 0.938 0.938 0.439

Calculated values
- E_form: -47.1 kJ/mol of atoms
- Space-group type: R3m
- Crystal system: trigonal
- Total moment: 0.00 μB per atom

# 4
VASP calculation (PBE) on a relaxed Ho2TmNi9 crystal.

a b c (Å): 8.580 8.580 8.580
angles (deg): 33.46 33.46 33.46
Atoms (fractional coordinates):
Ho1 0.139 0.139 0.139
Ho2 0.861 0.861 0.861
Tm1 0.000 0.000 0.000
Ni1 0.081 0.582 0.582
Ni2 0.333 0.333 0.333
Ni3 0.418 0.418 0.919
Ni4 0.418 0.919 0.418
Ni5 0.500 0.500 0.500
Ni6 0.582 0.081 0.582
Ni7 0.582 0.582 0.081
Ni8 0.667 0.667 0.667
Ni9 0.919 0.418 0.418

Calculated values
- E_form: -41.4 kJ/mol of atoms
- Space-group type: R-3m
- Crystal system: trigonal
- Total moment: 0.10 μB per atom

# 5
VASP calculation (PBE) on a relaxed Ho2Tm3Ni2 crystal.

a b c (Å): 12.020 3.552 8.885
angles (deg): 90.00 116.69 90.00
Atoms (fractional coordinates):
Ho1 0.166 0.000 0.311
Ho2 0.334 0.500 0.689
Ho3 0.666 0.500 0.311
Ho4 0.834 0.000 0.689
Tm1 0.000 0.500 0.500
Tm2 0.116 0.500 0.934
Tm3 0.384 0.000 0.066
Tm4 0.500 0.000 0.500
Tm5 0.616 0.000 0.934
Tm6 0.884 0.500 0.066
Ni1 0.173 0.000 0.739
Ni2 0.327 0.500 0.261
Ni3 0.673 0.500 0.739
Ni4 0.827 0.000 0.261

Calculated values
- E_form: -27.2 kJ/mol of atoms
- Space-group type: C2/m
- Crystal system: monoclinic
- Total moment: 0.00 μB per atom

# 6
VASP calculation (PBE) on a relaxed Ho2Tm2Ni3 crystal.

a b c (Å): 13.980 4.058 5.598
angles (deg): 90.00 99.51 90.00
Atoms (fractional coordinates):
Ho1 0.089 0.000 0.301
Ho2 0.411 0.500 0.699
Ho3 0.589 0.500 0.301
Ho4 0.911 0.000 0.699
Tm1 0.165 0.500 0.823
Tm2 0.335 0.000 0.177
Tm3 0.665 0.000 0.823
Tm4 0.835 0.500 0.177
Ni1 0.000 0.500 0.500
Ni2 0.231 0.500 0.359
Ni3 0.269 0.000 0.641
Ni4 0.500 0.000 0.500
Ni5 0.731 0.000 0.359
Ni6 0.769 0.500 0.641

Calculated values
- E_form: -33.8 kJ/mol of atoms
- Space-group type: C2/m
- Crystal system: monoclinic
- Total moment: 0.00 μB per atom

# 7
VASP calculation (PBE) on a relaxed Ho7TmNi2 crystal.

a b c (Å): 8.170 8.170 5.022
angles (deg): 90.00 90.00 114.72
Atoms (fractional coordinates):
Ho1 0.000 0.000 0.000
Ho2 0.176 0.445 0.000
Ho3 0.208 0.792 0.500
Ho4 0.445 0.176 0.000
Ho5 0.555 0.824 0.000
Ho6 0.792 0.208 0.500
Ho7 0.824 0.555 0.000
Tm1 0.500 0.500 0.500
Ni1 0.201 0.799 0.000
Ni2 0.799 0.201 0.000

Calculated values
- E_form: 7.0 kJ/mol of atoms
- Space-group type: Cmmm
- Crystal system: orthorhombic
- Total moment: 0.01 μB per atom

# 8
VASP calculation (PBE) on a relaxed HoTm2Ni9 crystal.

a b c (Å): 4.941 4.941 16.089
angles (deg): 90.00 90.00 120.00
Atoms (fractional coordinates):
Ho1 0.333 0.667 0.250
Ho2 0.667 0.333 0.750
Tm1 0.333 0.667 0.041
Tm2 0.333 0.667 0.459
Tm3 0.667 0.333 0.541
Tm4 0.667 0.333 0.959
Ni1 0.000 0.000 0.000
Ni2 0.000 0.000 0.250
Ni3 0.000 0.000 0.500
Ni4 0.000 0.000 0.750
Ni5 0.167 0.335 0.626
Ni6 0.167 0.335 0.874
Ni7 0.167 0.833 0.626
Ni8 0.167 0.833 0.874
Ni9 0.333 0.667 0.750
Ni10 0.335 0.167 0.126
Ni11 0.335 0.167 0.374
Ni12 0.665 0.833 0.626
Ni13 0.665 0.833 0.874
Ni14 0.667 0.333 0.250
Ni15 0.833 0.167 0.126
Ni16 0.833 0.167 0.374
Ni17 0.833 0.665 0.126
Ni18 0.833 0.665 0.374

Calculated values
- E_form: -42.7 kJ/mol of atoms
- Space-group type: P6_3/mmc
- Crystal system: hexagonal
- Total moment: 0.00 μB per atom

# 9
VASP calculation (PBE) on a relaxed HoTmNi crystal.

a b c (Å): 6.635 6.635 6.635
angles (deg): 90.00 90.00 90.00
Atoms (fractional coordinates):
Ho1 0.000 0.000 0.000
Ho2 0.000 0.500 0.500
Ho3 0.500 0.000 0.500
Ho4 0.500 0.500 0.000
Tm1 0.000 0.000 0.500
Tm2 0.000 0.500 0.000
Tm3 0.500 0.000 0.000
Tm4 0.500 0.500 0.500
Ni1 0.250 0.250 0.750
Ni2 0.250 0.750 0.250
Ni3 0.750 0.250 0.250
Ni4 0.750 0.750 0.750

Calculated values
- E_form: -18.2 kJ/mol of atoms
- Space-group type: F-43m
- Energy above the most stable polymorph in this dataset: 0.26 eV per formula unit
- Crystal system: cubic
- Total moment: 0.00 μB per atom

# 10
VASP calculation (PBE) on a relaxed HoTm4Ni crystal.

a b c (Å): 7.739 7.739 5.930
angles (deg): 99.86 99.86 107.47
Atoms (fractional coordinates):
Ho1 0.099 0.901 0.750
Ho2 0.901 0.099 0.250
Tm1 0.145 0.342 0.876
Tm2 0.221 0.561 0.446
Tm3 0.342 0.145 0.376
Tm4 0.439 0.779 0.054
Tm5 0.561 0.221 0.946
Tm6 0.658 0.855 0.624
Tm7 0.779 0.439 0.554
Tm8 0.855 0.658 0.124
Ni1 0.499 0.501 0.750
Ni2 0.501 0.499 0.250

Calculated values
- E_form: -6.9 kJ/mol of atoms
- Space-group type: C2/c
- Crystal system: monoclinic
- Total moment: 0.00 μB per atom

# 11
VASP calculation (PBE) on a relaxed Ho3TmNi2 crystal.

a b c (Å): 8.219 8.219 11.138
angles (deg): 119.99 119.99 28.47
Atoms (fractional coordinates):
Ho1 0.061 0.061 0.189
Ho2 0.188 0.188 0.564
Ho3 0.314 0.314 0.941
Ho4 0.686 0.686 0.059
Ho5 0.812 0.812 0.436
Ho6 0.939 0.939 0.811
Tm1 0.438 0.438 0.313
Tm2 0.562 0.562 0.687
Ni1 0.126 0.126 0.871
Ni2 0.376 0.376 0.623
Ni3 0.624 0.624 0.377
Ni4 0.874 0.874 0.129

Calculated values
- E_form: -20.6 kJ/mol of atoms
- Space-group type: C2/m
- Energy above the most stable polymorph in this dataset: 0.59 eV per formula unit
- Crystal system: monoclinic
- Total moment: 0.00 μB per atom

# 12
VASP calculation (PBE) on a relaxed Ho3TmNi crystal.

a b c (Å): 5.269 5.269 5.269
angles (deg): 90.00 90.00 90.00
Atoms (fractional coordinates):
Ho1 0.000 0.000 0.500
Ho2 0.000 0.500 0.000
Ho3 0.500 0.000 0.000
Tm1 0.500 0.500 0.500
Ni1 0.000 0.000 0.000

Calculated values
- E_form: -2.2 kJ/mol of atoms
- Space-group type: Pm-3m
- Energy above the most stable polymorph in this dataset: 0.81 eV per formula unit
- Crystal system: cubic
- Total moment: 0.00 μB per atom